Record 1
LiPaSbOs PBE-GGA optimized geometry; D(E_F) = 1.0417 states/eV/atom; energy relative to the elements, uncorrected = -0.23 eV per atom
1.0
-4.1313 -1.8691 -1.4413
-2.0339 -3.4945 2.5081
-3.9820 0.8462 2.4630
Os Sb Li Pa
1 1 1 1
direct
0.5000 0.5000 0.5000
0.7500 0.7500 0.7500
0.0000 0.0000 0.0000
0.2500 0.2500 0.2500

---

Record 2
Te2SeI2 PBE-GGA optimized geometry; D(E_F) = 0.6501 states/eV/atom; energy relative to the elements, uncorrected = 0.43 eV per atom; E above lowest polymorph = 0.418 eV/atom
1.0
4.4143 0.0000 0.0000
0.0000 4.4143 0.0000
2.2071 2.2071 10.0449
I Te Se
2 2 1
direct
0.2500 0.7500 0.5000
0.7500 0.2500 0.5000
0.4341 0.4341 0.1319
0.5659 0.5659 0.8681
0.0000 0.0000 0.0000

---

Record 3
PrPaTiO6 PBE-GGA optimized geometry; D(E_F) = 0.0000 states/eV/atom; energy relative to the elements, uncorrected = -3.21 eV per atom
1.0
-3.0663 2.3983 -2.7816
-0.5705 -4.4740 -3.2286
-3.3689 0.7323 4.3451
O Pa Ti Pr
6 1 1 1
direct
0.2635 0.2825 0.3153
0.7365 0.2825 0.9672
0.2635 0.6847 0.9672
0.2635 0.0328 0.7175
0.7365 0.6847 0.7175
0.7365 0.0328 0.3153
0.0000 0.3333 0.6667
0.5000 0.0000 0.0000
0.5000 0.6667 0.3333

---

Record 4
Hf4GeSb PBE-GGA optimized geometry; D(E_F) = 0.3576 states/eV/atom; energy relative to the elements, uncorrected = -0.50 eV per atom; E above lowest polymorph = 0.000 eV/atom
1.0
5.5950 0.0000 0.0000
0.0000 6.6877 0.0000
0.0000 0.0000 6.6877
Hf Ge Sb
8 2 2
direct
0.5000 0.6440 0.1640
0.0000 0.1640 0.6440
0.0000 0.3560 0.1640
0.5000 0.3560 0.8360
0.5000 0.8360 0.6440
0.5000 0.1640 0.3560
0.0000 0.6440 0.8360
0.0000 0.8360 0.3560
0.2500 0.5000 0.5000
0.7500 0.5000 0.5000
0.2500 0.0000 0.0000
0.7500 0.0000 0.0000

---

Record 5
AcGeH PBE-GGA optimized geometry; D(E_F) = 0.2027 states/eV/atom; E above lowest polymorph = 0.163 eV/atom
1.0
4.3789 0.0000 0.0000
2.1894 3.7832 0.0118
2.1894 1.2230 7.9781
H Ge Ac
2 2 2
direct
0.2991 0.2998 0.1020
0.7009 0.7002 0.8980
0.8407 0.8412 0.4775
0.1593 0.1588 0.5225
0.5948 0.5947 0.2157
0.4052 0.4053 0.7843

---

Record 6
Y2Sb2S PBE-GGA optimized geometry; D(E_F) = 0.4052 states/eV/atom; energy relative to the elements, uncorrected = -1.09 eV per atom
1.0
7.5777 0.0000 0.0000
0.0000 7.5777 0.0000
0.0000 0.0000 4.6223
Sb S Y
4 2 4
direct
0.1316 0.6316 0.5000
0.3684 0.1316 0.5000
0.6316 0.8684 0.5000
0.8684 0.3684 0.5000
0.5000 0.5000 0.0000
0.0000 0.0000 0.0000
0.1788 0.3212 0.0000
0.6788 0.1788 0.0000
0.3212 0.8212 0.0000
0.8212 0.6788 0.0000

---

Record 7
Zn2TcBi PBE-GGA optimized geometry; D(E_F) = 0.6628 states/eV/atom; formation energy = 607 meV/atom
1.0
-6.3002 3.2404 3.1056
-3.1471 -7.0055 0.9250
-3.6015 -2.0614 4.4784
Zn Bi Tc
4 2 2
direct
0.3750 0.4124 0.7500
0.1624 0.6250 0.2500
0.8750 0.8376 0.7500
0.5876 0.1250 0.2500
0.7500 0.2500 0.5000
0.0000 0.0000 0.0000
0.2500 0.7500 0.5000
0.5000 0.5000 0.0000

---

Record 8
K2NpNiS4 PBE-GGA optimized geometry; D(E_F) = 1.1785 states/eV/atom; energy relative to the elements, uncorrected = -0.84 eV per atom
1.0
7.2111 0.0000 0.0000
0.0000 7.2130 0.0000
0.0000 0.0000 8.8910
Np S K Ni
2 8 4 2
direct
0.4995 0.7588 0.0000
0.9995 0.2412 0.5000
0.7474 0.0072 0.5000
0.2474 0.9928 0.0000
0.9965 0.3299 0.7765
0.4965 0.6701 0.7235
0.4965 0.6701 0.2765
0.9965 0.3299 0.2235
0.2553 0.0119 0.5000
0.7553 0.9881 0.0000
0.0027 0.7830 0.2529
0.0027 0.7830 0.7471
0.5027 0.2170 0.2471
0.5027 0.2170 0.7529
0.9993 0.1824 0.0000
0.4993 0.8176 0.5000

---

Record 9
PmHgPPd PBE-GGA optimized geometry; D(E_F) = 0.1973 states/eV/atom; formation energy = -521 meV/atom
1.0
-0.1175 -3.2310 -3.6667
4.1669 -1.8616 -1.7518
1.1250 -4.6839 0.8326
Pd Pm Hg P
1 1 1 1
direct
0.2500 0.2500 0.2500
0.7500 0.7500 0.7500
0.5000 0.5000 0.5000
0.0000 0.0000 0.0000

---

Record 10
CaScRh PBE-GGA optimized geometry; D(E_F) = 0.5631 states/eV/atom; E above lowest polymorph = 0.090 eV/atom; formation energy = -517 meV/atom
1.0
10.1438 0.0000 0.0000
0.0000 6.0720 0.0000
0.0000 0.0000 8.8421
Sc Ca Rh
8 8 8
direct
0.8163 0.5000 0.5000
0.3163 0.5000 0.0000
0.6837 0.0000 0.5000
0.1837 0.5000 0.5000
0.8163 0.0000 0.0000
0.3163 0.0000 0.5000
0.6837 0.5000 0.0000
0.1837 0.0000 0.0000
0.0000 0.5000 0.8194
0.5000 0.0000 0.8194
0.5000 0.5000 0.6806
0.0000 0.0000 0.3194
0.0000 0.0000 0.6806
0.5000 0.5000 0.3194
0.0000 0.5000 0.1805
0.5000 0.0000 0.1805
0.7500 0.7500 0.7500
0.7500 0.7500 0.2500
0.2500 0.7500 0.2500
0.2500 0.2500 0.2500
0.2500 0.2500 0.7500
0.2500 0.7500 0.7500
0.7500 0.2500 0.2500
0.7500 0.2500 0.7500

---

Record 11
InMo PBE-GGA optimized geometry; D(E_F) = 1.2200 states/eV/atom; E above lowest polymorph = 1.314 eV/atom; formation energy = 1528 meV/atom
1.0
-2.7006 -2.5245 -2.9291
-1.0243 0.1631 4.6011
-3.1330 4.3392 -0.8513
In Mo
2 2
direct
0.6667 0.3333 0.2500
0.3333 0.6667 0.7500
0.6667 0.3333 0.7500
0.3333 0.6667 0.2500

---

Record 12
Sc2SbP PBE-GGA optimized geometry; D(E_F) = 0.2419 states/eV/atom; energy relative to the elements, uncorrected = -0.93 eV per atom
1.0
1.9131 -5.7966 0.0000
1.9131 5.7966 0.0000
0.0000 0.0000 4.0178
Sb Sc P
1 2 1
direct
0.7320 0.2680 0.5000
0.2738 0.7262 0.0000
0.0016 0.9984 0.5000
0.4926 0.5074 0.0000

---

Record 13
MgAlCrGa PBE-GGA optimized geometry; D(E_F) = 0.3841 states/eV/atom; formation energy = 70 meV/atom
1.0
-0.4235 -2.1952 -3.9314
3.5911 -0.5153 -2.7005
1.8694 -4.0850 -0.5218
Mg Cr Ga Al
1 1 1 1
direct
0.7500 0.7500 0.7500
0.2500 0.2500 0.2500
0.0000 0.0000 0.0000
0.5000 0.5000 0.5000

---

Record 14
Sr3PbF PBE-GGA optimized geometry; D(E_F) = 0.2536 states/eV/atom; energy relative to the elements, uncorrected = -1.33 eV per atom; E above lowest polymorph = 0.000 eV/atom
1.0
7.3707 0.0000 0.0000
0.0000 9.0812 0.8227
0.0000 -2.4776 9.3465
Sr F Pb
12 4 4
direct
0.4981 0.3017 0.4468
0.0018 0.3018 0.4464
0.5018 0.1982 0.0536
0.7498 0.4251 0.8093
0.2502 0.5749 0.1907
0.4982 0.8018 0.9464
0.9981 0.1983 0.0532
0.0019 0.8017 0.9468
0.2498 0.0749 0.6907
0.7502 0.9251 0.3093
0.9982 0.6982 0.5536
0.5019 0.6983 0.5532
0.7500 0.9757 0.0627
0.2500 0.0243 0.9373
0.7500 0.4757 0.5627
0.2500 0.5243 0.4373
0.2499 0.4663 0.8060
0.7501 0.5337 0.1940
0.7499 0.0337 0.6940
0.2501 0.9663 0.3060

---

Record 15
Ce5NiGe2 PBE-GGA optimized geometry; D(E_F) = 2.7134 states/eV/atom; E above lowest polymorph = 0.000 eV/atom; formation energy = -483 meV/atom
1.0
-1.1349 -4.3034 0.6545
6.6146 -1.2336 3.3598
-4.7562 2.8368 10.4050
Ge Ce Ni
4 10 2
direct
0.5000 0.4189 0.3282
0.5000 0.5811 0.6718
0.5000 0.9189 0.1718
0.5000 0.0811 0.8282
0.0000 0.5000 0.5000
0.0000 0.6428 0.2126
0.5000 0.2987 0.0638
0.5000 0.7013 0.9362
0.0000 0.1428 0.2874
0.5000 0.2013 0.5638
0.0000 0.3572 0.7874
0.0000 0.0000 0.0000
0.0000 0.8572 0.7126
0.5000 0.7987 0.4362
0.0000 0.0000 0.5000
0.0000 0.5000 0.0000

---

Record 16
Li3AgAu4 PBE-GGA optimized geometry; D(E_F) = 0.2692 states/eV/atom; E above lowest polymorph = 0.130 eV/atom; formation energy = -275 meV/atom
1.0
4.3828 0.0000 0.0000
0.0000 2.8519 -0.0644
-2.1914 0.2758 10.6702
Au Li Ag
4 3 1
direct
0.6681 0.5007 0.3361
0.9016 0.0037 0.8032
0.0984 0.9963 0.1968
0.3319 0.4993 0.6639
0.2199 0.0112 0.4398
0.0000 0.5000 0.0000
0.7801 0.9888 0.5602
0.5000 0.0000 0.0000

---

Record 17
PuAsH2 PBE-GGA optimized geometry; D(E_F) = 1.7979 states/eV/atom; E above lowest polymorph = 0.000 eV/atom
1.0
4.0472 0.0000 0.0000
2.0236 3.5050 0.0000
2.0236 1.1683 3.6135
As H Pu
1 2 1
direct
0.0000 0.0000 0.0000
0.1746 0.1746 0.4761
0.8254 0.8254 0.5239
0.5000 0.5000 0.5000

---

Record 18
SmHoTcPd PBE-GGA optimized geometry; D(E_F) = 0.8363 states/eV/atom; formation energy = -312 meV/atom
1.0
4.9222 0.0000 0.0000
2.4611 4.2627 0.0000
2.4611 1.4209 4.0189
Ho Pd Sm Tc
1 1 1 1
direct
0.2500 0.2500 0.2500
0.0000 0.0000 0.0000
0.7500 0.7500 0.7500
0.5000 0.5000 0.5000

---

Record 19
Dy3YIn4 PBE-GGA optimized geometry; D(E_F) = 0.5972 states/eV/atom; formation energy = -475 meV/atom
1.0
-3.0546 -0.4959 -2.1355
0.7420 -3.6802 -0.2066
-8.2659 -2.3612 12.3722
In Dy Y
4 3 1
direct
0.0000 0.0000 0.6247
0.0000 0.0000 0.8744
0.0000 0.0000 0.3753
0.0000 0.0000 0.1256
0.5000 0.5000 0.5000
0.5000 0.5000 0.7496
0.5000 0.5000 0.2504
0.5000 0.5000 0.0000

---

Record 20
Th2Cd3Hg3 PBE-GGA optimized geometry; D(E_F) = 0.4494 states/eV/atom; formation energy = -204 meV/atom
1.0
-4.0772 -0.5348 -3.1731
0.0513 -3.6417 -3.7031
-4.8574 -6.9950 3.1692
Hg Th Cd
3 2 3
direct
0.3738 0.3738 0.8788
0.1259 0.1259 0.6224
0.8777 0.8777 0.3668
0.4972 0.4972 0.5085
0.0029 0.0029 0.9914
0.6227 0.6227 0.1319
0.2507 0.2507 0.2478
0.7492 0.7492 0.7525

---

Record 21
ScCoRu PBE-GGA optimized geometry; D(E_F) = 1.0743 states/eV/atom; E above lowest polymorph = 0.476 eV/atom; formation energy = 113 meV/atom
1.0
4.1494 0.0000 0.0000
2.0747 3.5935 0.0000
2.0747 1.1978 3.3880
Co Ru Sc
1 1 1
direct
0.7500 0.7500 0.7500
0.0000 0.0000 0.0000
0.5000 0.5000 0.5000

---

Record 22
Ho2Sc3Tl PBE-GGA optimized geometry; D(E_F) = 1.8180 states/eV/atom; E above lowest polymorph = 0.288 eV/atom; formation energy = 240 meV/atom
1.0
-1.2031 0.7647 2.9841
-4.1537 -4.0773 -0.6299
7.9912 -4.3237 2.4973
Tl Sc Ho
1 3 2
direct
0.0000 0.5000 0.0000
0.6359 0.6359 0.2718
0.3641 0.3641 0.7282
0.0000 0.0000 0.0000
0.2988 0.7988 0.5975
0.7012 0.2012 0.4025